1.
A plane-wave DFT calculation with PBE was carried out for an optimized crystal structure of SrCa2Al.

Lattice parameters (Å, degrees): 5.0635 5.0635 5.3598 90.00 90.00 90.00
Element x y z (fractional)
Sr 0.0000 0.0000 0.0000
Ca 0.0000 0.5000 0.5000
Ca 0.5000 0.0000 0.5000
Al 0.5000 0.5000 0.0000

Calculated values
ΔH_f (0 K)   0.0011 eV per atom
Uncorrected energy   -2.36 eV/atom

***

2.
A plane-wave DFT calculation with PBE was carried out for an optimized crystal structure of KSr2As.

Lattice parameters (Å, degrees): 8.2731 8.2731 8.2731 100.32 100.32 129.91
Element x y z (fractional)
K 0.0000 0.0000 0.0000
K 0.7500 0.2500 0.5000
Sr 0.2538 0.6250 0.1288
Sr 0.3750 0.5038 0.6288
Sr 0.4962 0.1250 0.8712
Sr 0.8750 0.7462 0.3712
As 0.2500 0.7500 0.5000
As 0.5000 0.5000 0.0000

Calculated values
ΔH_f (0 K)   -0.4000 eV per atom
Uncorrected energy   -2.68 eV/atom

***

3.
A plane-wave DFT calculation with PBE was carried out for an optimized crystal structure of HfOsN3.

Lattice parameters (Å, degrees): 3.8386 3.8386 3.8386 90.00 90.00 90.00
Element x y z (fractional)
Hf 0.0000 0.0000 0.0000
Os 0.5000 0.5000 0.5000
N 0.0000 0.5000 0.5000
N 0.5000 0.0000 0.5000
N 0.5000 0.5000 0.0000

Calculated values
Formation energy from raw total energies   2.00 eV per formula unit
Uncorrected energy   -8.83 eV/atom

***

Q: The highest uncorrected energy belongs to which entry?
A: SrCa2Al

***

Q: Look up the uncorrected energy of the second one.
A: -2.68 eV/atom

***

Q: Look up the uncorrected energy of the third one.
A: -8.83 eV/atom